--- A ---
The following is a DFT calculation (GGA-PBE) of a geometry-optimized Li2CrCl6 structure.

Calculated values
Density (Mg/m³): 2.255
Total moment (μB per formula unit): 2.0
Space group: P2_1/c, No. 14

abc: 6.1784 6.6852 9.9528
angles: 90.00 93.60 90.00
Site moments in Bohr magnetons follow the coordinates.
Sites, in units of the cell vectors:
Cl 0.8645 0.9424 0.7111  -0.03
Cl 0.6597 0.2149 0.0787  -0.07
Cl 0.6355 0.4424 0.7889  -0.03
Cl 0.3645 0.5576 0.2111  -0.03
Cl 0.3403 0.7851 0.9213  -0.07
Li 0.4808 0.8685 0.3468  0.00
Cl 0.1355 0.0576 0.2889  -0.03
Li 0.9808 0.6315 0.8468  0.00
Cl 0.8403 0.7149 0.4213  -0.07
Li 0.5192 0.1315 0.6532  0.00
Li 0.0192 0.3685 0.1532  0.00
Cr 0.0000 0.0000 0.5000  2.15
Cl 0.8136 0.6773 0.0644  -0.03
Cl 0.3136 0.8227 0.5644  -0.03
Cl 0.1597 0.2851 0.5787  -0.07
Cl 0.6864 0.1773 0.4356  -0.03
Cl 0.1864 0.3227 0.9356  -0.03
Cr 0.5000 0.5000 0.0000  2.15

--- B ---
The following is a DFT calculation (GGA-PBE) of a geometry-optimized Li2CrCl6 structure.

Calculated values
Density (Mg/m³): 2.430
Total moment (μB per formula unit): 2.0
Space group: P4_2/mnm, No. 136

abc: 5.8975 5.8975 10.9486
angles: 90.00 90.00 90.00
Site moments in Bohr magnetons follow the coordinates.
Sites, in units of the cell vectors:
Cl 0.3091 0.3091 0.3469  -0.04
Cl 0.3091 0.3091 0.6531  -0.04
Cl 0.8091 0.1909 0.1531  -0.04
Cl 0.1909 0.8091 0.8469  -0.04
Cr 0.5000 0.5000 0.5000  2.17
Cl 0.1909 0.8091 0.1531  -0.04
Cl 0.2232 0.7768 0.5000  -0.06
Cl 0.6909 0.6909 0.3469  -0.04
Cl 0.8091 0.1909 0.8469  -0.04
Cl 0.2768 0.2768 0.0000  -0.06
Cl 0.7768 0.2232 0.5000  -0.06
Cr 0.0000 0.0000 0.0000  2.17
Cl 0.7232 0.7232 0.0000  -0.06
Li 0.5000 0.5000 0.8299  0.00
Li 0.5000 0.5000 0.1701  0.00
Li 0.0000 0.0000 0.3299  0.00
Cl 0.6909 0.6909 0.6531  -0.04
Li 0.0000 0.0000 0.6701  0.00

Stability summary: most stable A, least stable B.